# KNa2AlH6 SCAN PBEsol geometry
data_KNa2AlH6
_space_group_name_H-M_alt 'P 1'
_space_group_IT_number 1
_cell_length_a 5.497
_cell_length_b 5.503
_cell_length_c 7.796
_cell_angle_alpha 90.00
_cell_angle_beta 89.88
_cell_angle_gamma 90.00
loop_
_space_group_symop_operation_xyz
'x,y,z'
loop_
_atom_site_label
_atom_site_type_symbol
_atom_site_fract_x
_atom_site_fract_y
_atom_site_fract_z
_atom_site_occupancy
Na1 Na 0.755 0.023 0.000 1
Na2 Na 0.245 0.523 0.000 1
Na3 Na 0.741 0.502 0.754 1
Na4 Na 0.259 0.002 0.246 1
K1 K 0.755 0.989 0.498 1
K2 K 0.245 0.489 0.502 1
Al1 Al 0.762 0.500 0.236 1
Al2 Al 0.238 0.000 0.764 1
H1 H 0.715 0.506 0.463 1
H2 H 0.286 0.006 0.537 1
H3 H 0.822 0.483 0.018 1
H4 H 0.178 0.983 0.982 1
H5 H 0.492 0.806 0.790 1
H6 H 0.508 0.306 0.210 1
H7 H 0.991 0.197 0.738 1
H8 H 0.009 0.697 0.262 1
H9 H 0.569 0.755 0.207 1
H10 H 0.431 0.255 0.793 1
H11 H 0.953 0.249 0.265 1
H12 H 0.047 0.749 0.735 1
# - energy (eV per atom) = -4.82
# - M_tot (μB/f.u.) = 0.00
# - DOS(E_F) (states/eV/cell) = 0.00
# - space group = P2_1, No. 4

# BaTcPS2 SCAN PBEsol geometry
data_BaTcPS2
_space_group_name_H-M_alt 'P 1'
_space_group_IT_number 1
_cell_length_a 4.495
_cell_length_b 4.852
_cell_length_c 4.852
_cell_angle_alpha 90.00
_cell_angle_beta 90.00
_cell_angle_gamma 90.00
loop_
_space_group_symop_operation_xyz
'x,y,z'
loop_
_atom_site_label
_atom_site_type_symbol
_atom_site_fract_x
_atom_site_fract_y
_atom_site_fract_z
_atom_site_occupancy
P1 P 0.500 0.000 0.000 1
S1 S 0.000 0.000 0.500 1
S2 S 0.000 0.500 0.000 1
Ba1 Ba 0.500 0.500 0.500 1
Tc1 Tc 0.000 0.000 0.000 1
# - offset from the most stable computed form (meV/atom) = 0.0
# - energy (eV per atom) = -21.63
# - M_tot (μB/f.u.) = 1.67
# - DOS(E_F) (states/eV/cell) = 2.73
# - space group = P4/mmm, No. 123

# HgOsSeBr2 SCAN PBEsol geometry
data_HgOsSeBr2
_space_group_name_H-M_alt 'P 1'
_space_group_IT_number 1
_cell_length_a 5.269
_cell_length_b 5.257
_cell_length_c 5.257
_cell_angle_alpha 90.00
_cell_angle_beta 90.00
_cell_angle_gamma 90.00
loop_
_space_group_symop_operation_xyz
'x,y,z'
loop_
_atom_site_label
_atom_site_type_symbol
_atom_site_fract_x
_atom_site_fract_y
_atom_site_fract_z
_atom_site_occupancy
Se1 Se 0.500 0.000 0.000 1
Os1 Os 0.500 0.500 0.500 1
Hg1 Hg 0.000 0.000 0.000 1
Br1 Br 0.000 0.000 0.500 1
Br2 Br 0.000 0.500 0.000 1
# - energy (eV per atom) = -38.33
# - M_tot (μB/f.u.) = 4.44
# - DOS(E_F) (states/eV/cell) = 3.41
# - space group = P4/mmm, No. 123